# Na2V3O7, relaxed, DFT GGA+U
data_Na2V3O7
_chemical_formula_sum 'Na12 V18 O42'
_cell_length_a 11.0786
_cell_length_b 11.0786
_cell_length_c 9.7074
_cell_angle_alpha 90.00
_cell_angle_beta 90.00
_cell_angle_gamma 120.00
_space_group_name_H-M_alt 'P -3'
_space_group_IT_number 147
loop_
_space_group_symop_operation_xyz
'x,y,z'
'-x,-y,-z'
'-y,x-y,z'
'y,-x+y,-z'
'-x+y,-x,z'
'x-y,x,-z'
loop_
_atom_site_label
_atom_site_fract_x
_atom_site_fract_y
_atom_site_fract_z
_atom_site_occupancy
Na1 0.0000 0.0000 0.0000 1
Na2 0.0000 0.0000 0.5000 1
Na3 0.0356 0.5087 0.2478 1
Na4 0.3333 0.6667 0.5697 1
Na5 0.3333 0.6667 0.9265 1
V1 0.1057 0.7887 0.4012 1
V2 0.1348 0.3158 0.1002 1
V3 0.1449 0.8288 0.7506 1
O1 0.0222 0.7242 0.2114 1
O2 0.0557 0.2947 0.2889 1
O3 0.0607 0.8243 0.9320 1
O4 0.0843 0.2494 0.5672 1
O5 0.1466 0.6655 0.4371 1
O6 0.1721 0.4785 0.0649 1
O7 0.2044 0.7167 0.7529 1
# Distance to the lowest polymorph of the same formula, meV/atom: 0
# VASP energy, eV per atom: -6.9781